Record 1
Here is an optimized crystal structure of La3PmTm2S6 from the Alexandria database. Energies are from PBE.

Structure (CIF):
```
data_La3PmTm2S6
_cell_length_a 6.927
_cell_length_b 12.026
_cell_length_c 7.060
_cell_angle_alpha 90.00
_cell_angle_beta 109.19
_cell_angle_gamma 90.00
_symmetry_space_group_name_H-M 'C 1 2/m 1'
_symmetry_Int_Tables_number 12
loop_
_symmetry_equiv_pos_as_xyz
'x,y,z'
'-x,-y,-z'
'-x,y,-z'
'x,-y,z'
'x+1/2,y+1/2,z'
'-x+1/2,-y+1/2,-z'
'-x+1/2,y+1/2,-z'
'x+1/2,-y+1/2,z'
loop_
_atom_site_label
_atom_site_type_symbol
_atom_site_fract_x
_atom_site_fract_y
_atom_site_fract_z
La1 La 0.000 0.000 0.000
La2 La 0.000 0.337 0.000
Pm1 Pm 0.000 0.500 0.500
Tm1 Tm 0.000 0.167 0.500
S1 S 0.231 0.000 0.727
S2 S 0.249 0.328 0.730
```

Results
uncorrected formation energy	-2.07	eV per atom
total moment	0.000	μB/cell
ρ	6.53	g/cm3

Record 2
Here is an optimized crystal structure of La3Pm4TmS8 from the Alexandria database. Energies are from PBE.

Structure (CIF):
```
data_La3Pm4TmS8
_cell_length_a 8.1288
_cell_length_b 8.1288
_cell_length_c 19.8370
_cell_angle_alpha 90.00
_cell_angle_beta 90.00
_cell_angle_gamma 120.00
_symmetry_space_group_name_H-M 'R -3 m'
_symmetry_Int_Tables_number 166
_symmetry_space_group_name_Hall '-R 3 2"'
loop_
_atom_site_label
_atom_site_type_symbol
_atom_site_fract_x
_atom_site_fract_y
_atom_site_fract_z
La1 La 0.0000 0.5000 0.0000
Pm1 Pm 0.0000 0.0000 0.5000
Pm2 Pm 0.0000 0.5000 0.5000
Tm1 Tm 0.0000 0.0000 0.0000
S1 S 0.0000 0.0000 0.2473
S2 S 0.0132 0.5066 0.7493
```

Results
uncorrected formation energy	-2.06	eV per atom
total moment	0.000	μB/cell
ρ	6.24	g/cm3

Record 3
Here is an optimized crystal structure of La4PmTm3S8 from the Alexandria database. Energies are from PBE.

Structure (CIF):
```
data_La4PmTm3S8
_cell_length_a 7.9813
_cell_length_b 7.9813
_cell_length_c 20.0526
_cell_angle_alpha 90.00
_cell_angle_beta 90.00
_cell_angle_gamma 120.00
_symmetry_space_group_name_H-M 'R -3 m'
_symmetry_Int_Tables_number 166
_symmetry_space_group_name_Hall '-R 3 2"'
loop_
_atom_site_label
_atom_site_type_symbol
_atom_site_fract_x
_atom_site_fract_y
_atom_site_fract_z
La1 La 0.0000 0.0000 0.0000
La2 La 0.0000 0.5000 0.0000
Pm1 Pm 0.0000 0.0000 0.5000
Tm1 Tm 0.0000 0.5000 0.5000
S1 S 0.0000 0.0000 0.2410
S2 S 0.0088 0.5044 0.7572
```

Results
uncorrected formation energy	-2.06	eV per atom
total moment	0.001	μB/cell
ρ	6.59	g/cm3

Record 4
Here is an optimized crystal structure of La3Pm3TmS8 from the Alexandria database. Energies are from PBE.

Structure (CIF):
```
data_La3Pm3TmS8
_cell_length_a 8.1040
_cell_length_b 8.1040
_cell_length_c 20.1625
_cell_angle_alpha 90.00
_cell_angle_beta 90.00
_cell_angle_gamma 120.00
_symmetry_space_group_name_H-M 'R -3 m'
_symmetry_Int_Tables_number 166
_symmetry_space_group_name_Hall '-R 3 2"'
loop_
_atom_site_label
_atom_site_type_symbol
_atom_site_fract_x
_atom_site_fract_y
_atom_site_fract_z
La1 La 0.0000 0.5000 0.0000
Pm1 Pm 0.0000 0.5000 0.5000
Tm1 Tm 0.0000 0.0000 0.5000
S1 S 0.0000 0.0000 0.2475
S2 S 0.0121 0.5060 0.2445
```

Results
uncorrected formation energy	-2.11	eV per atom
total moment	0.000	μB/cell
ρ	5.55	g/cm3

Record 5
Here is an optimized crystal structure of LaPmTm2S4 from the Alexandria database. Energies are from PBE.

Structure (CIF):
```
data_LaPmTm2S4
_cell_length_a 5.626
_cell_length_b 5.626
_cell_length_c 11.264
_cell_angle_alpha 90.00
_cell_angle_beta 90.00
_cell_angle_gamma 90.00
_symmetry_space_group_name_H-M 'I 4/m m m'
_symmetry_Int_Tables_number 139
_symmetry_space_group_name_Hall '-I 4 2'
loop_
_atom_site_label
_atom_site_type_symbol
_atom_site_fract_x
_atom_site_fract_y
_atom_site_fract_z
La1 La 0.000 0.000 0.000
Pm1 Pm 0.000 0.000 0.500
Tm1 Tm 0.000 0.500 0.250
S1 S 0.000 0.000 0.252
S2 S 0.000 0.500 0.000
```

Results
uncorrected formation energy	-1.96	eV per atom
total moment	0.000	μB/cell
ρ	6.99	g/cm3

Record 6
Here is an optimized crystal structure of La2Pm3TmS6 from the Alexandria database. Energies are from PBE.

Structure (CIF):
```
data_La2Pm3TmS6
_cell_length_a 7.010
_cell_length_b 12.164
_cell_length_c 6.987
_cell_angle_alpha 90.00
_cell_angle_beta 109.67
_cell_angle_gamma 90.00
_symmetry_space_group_name_H-M 'C 1 2/m 1'
_symmetry_Int_Tables_number 12
loop_
_symmetry_equiv_pos_as_xyz
'x,y,z'
'-x,-y,-z'
'-x,y,-z'
'x,-y,z'
'x+1/2,y+1/2,z'
'-x+1/2,-y+1/2,-z'
'-x+1/2,y+1/2,-z'
'x+1/2,-y+1/2,z'
loop_
_atom_site_label
_atom_site_type_symbol
_atom_site_fract_x
_atom_site_fract_y
_atom_site_fract_z
La1 La 0.000 0.166 0.000
Pm1 Pm 0.000 0.000 0.500
Pm2 Pm 0.000 0.328 0.500
Tm1 Tm 0.000 0.500 0.000
S1 S 0.234 0.500 0.748
S2 S 0.241 0.340 0.247
```

Results
uncorrected formation energy	-2.06	eV per atom
total moment	0.002	μB/cell
ρ	6.36	g/cm3

Record 7
Here is an optimized crystal structure of La2PmTmS4 from the Alexandria database. Energies are from PBE.

Structure (CIF):
```
data_La2PmTmS4
_cell_length_a 7.002
_cell_length_b 4.001
_cell_length_c 7.081
_cell_angle_alpha 90.00
_cell_angle_beta 108.93
_cell_angle_gamma 90.00
_symmetry_space_group_name_H-M 'P 1 2/m 1'
_symmetry_Int_Tables_number 10
loop_
_symmetry_equiv_pos_as_xyz
'x,y,z'
'-x,-y,-z'
'-x,y,-z'
'x,-y,z'
loop_
_atom_site_label
_atom_site_type_symbol
_atom_site_fract_x
_atom_site_fract_y
_atom_site_fract_z
La1 La 0.000 0.000 0.000
La2 La 0.500 0.500 0.000
Pm1 Pm 0.000 0.500 0.500
Tm1 Tm 0.500 0.000 0.500
S1 S 0.254 0.000 0.735
S2 S 0.266 0.500 0.271
```

Results
uncorrected formation energy	-2.07	eV per atom
total moment	0.000	μB/cell
ρ	6.37	g/cm3

Record 8
Here is an optimized crystal structure of LaPmY2S4 from the Alexandria database. Energies are from PBE.

Structure (CIF):
```
data_LaPmY2S4
_cell_length_a 5.674
_cell_length_b 5.674
_cell_length_c 11.356
_cell_angle_alpha 90.00
_cell_angle_beta 90.00
_cell_angle_gamma 90.00
_symmetry_space_group_name_H-M 'I 4/m m m'
_symmetry_Int_Tables_number 139
_symmetry_space_group_name_Hall '-I 4 2'
loop_
_atom_site_label
_atom_site_type_symbol
_atom_site_fract_x
_atom_site_fract_y
_atom_site_fract_z
La1 La 0.000 0.000 0.000
Pm1 Pm 0.000 0.000 0.500
Y1 Y 0.000 0.500 0.250
S1 S 0.000 0.000 0.253
S2 S 0.000 0.500 0.000
```

Results
uncorrected formation energy	-2.02	eV per atom
total moment	0.001	μB/cell
ρ	5.36	g/cm3

Record 9
Here is an optimized crystal structure of La2Pm3YS6 from the Alexandria database. Energies are from PBE.

Structure (CIF):
```
data_La2Pm3YS6
_cell_length_a 7.026
_cell_length_b 12.195
_cell_length_c 7.012
_cell_angle_alpha 90.00
_cell_angle_beta 109.62
_cell_angle_gamma 90.00
_symmetry_space_group_name_H-M 'C 1 2/m 1'
_symmetry_Int_Tables_number 12
loop_
_symmetry_equiv_pos_as_xyz
'x,y,z'
'-x,-y,-z'
'-x,y,-z'
'x,-y,z'
'x+1/2,y+1/2,z'
'-x+1/2,-y+1/2,-z'
'-x+1/2,y+1/2,-z'
'x+1/2,-y+1/2,z'
loop_
_atom_site_label
_atom_site_type_symbol
_atom_site_fract_x
_atom_site_fract_y
_atom_site_fract_z
La1 La 0.000 0.166 0.000
Pm1 Pm 0.000 0.000 0.500
Pm2 Pm 0.000 0.330 0.500
Y1 Y 0.000 0.500 0.000
S1 S 0.238 0.500 0.746
S2 S 0.245 0.338 0.250
```

Results
uncorrected formation energy	-2.07	eV per atom
total moment	0.000	μB/cell
ρ	5.83	g/cm3

Record 10
Here is an optimized crystal structure of La4PmY3S8 from the Alexandria database. Energies are from PBE.

Structure (CIF):
```
data_La4PmY3S8
_cell_length_a 8.0695
_cell_length_b 8.0695
_cell_length_c 20.0113
_cell_angle_alpha 90.00
_cell_angle_beta 90.00
_cell_angle_gamma 120.00
_symmetry_space_group_name_H-M 'R -3 m'
_symmetry_Int_Tables_number 166
_symmetry_space_group_name_Hall '-R 3 2"'
loop_
_atom_site_label
_atom_site_type_symbol
_atom_site_fract_x
_atom_site_fract_y
_atom_site_fract_z
La1 La 0.0000 0.0000 0.0000
La2 La 0.0000 0.5000 0.0000
Pm1 Pm 0.0000 0.0000 0.5000
Y1 Y 0.0000 0.5000 0.5000
S1 S 0.0000 0.0000 0.2435
S2 S 0.0053 0.5027 0.7554
```

Results
uncorrected formation energy	-2.09	eV per atom
total moment	0.000	μB/cell
ρ	5.40	g/cm3

Record 11
Here is an optimized crystal structure of La2PmZnS5 from the Alexandria database. Energies are from PBE.

Structure (CIF):
```
data_La2PmZnS5
_cell_length_a 3.963
_cell_length_b 17.077
_cell_length_c 12.240
_cell_angle_alpha 90.00
_cell_angle_beta 90.00
_cell_angle_gamma 90.00
_symmetry_space_group_name_H-M 'C m c 21'
_symmetry_Int_Tables_number 36
loop_
_symmetry_equiv_pos_as_xyz
'x,y,z'
'-x,-y,z+1/2'
'-x,y,z'
'x,-y,z+1/2'
'x+1/2,y+1/2,z'
'-x+1/2,-y+1/2,z+1/2'
'-x+1/2,y+1/2,z'
'x+1/2,-y+1/2,z+1/2'
loop_
_atom_site_label
_atom_site_type_symbol
_atom_site_fract_x
_atom_site_fract_y
_atom_site_fract_z
La1 La 0.000 0.117 0.000
La2 La 0.000 0.126 0.648
Pm1 Pm 0.000 0.189 0.336
Zn1 Zn 0.000 0.454 0.739
S1 S 0.000 0.023 0.334
S2 S 0.000 0.298 0.998
S3 S 0.000 0.318 0.670
S4 S 0.000 0.351 0.325
S5 S 0.000 0.492 0.068
```

Results
uncorrected formation energy	-1.83	eV per atom
total moment	0.001	μB/cell
ρ	5.20	g/cm3

Record 12
Here is an optimized crystal structure of La5PmSb6 from the Alexandria database. Energies are from PBE.

Structure (CIF):
```
data_La5PmSb6
_cell_length_a 7.977
_cell_length_b 13.813
_cell_length_c 7.975
_cell_angle_alpha 90.00
_cell_angle_beta 109.48
_cell_angle_gamma 90.00
_symmetry_space_group_name_H-M 'C 1 2/m 1'
_symmetry_Int_Tables_number 12
loop_
_symmetry_equiv_pos_as_xyz
'x,y,z'
'-x,-y,-z'
'-x,y,-z'
'x,-y,z'
'x+1/2,y+1/2,z'
'-x+1/2,-y+1/2,-z'
'-x+1/2,y+1/2,-z'
'x+1/2,-y+1/2,z'
loop_
_atom_site_label
_atom_site_type_symbol
_atom_site_fract_x
_atom_site_fract_y
_atom_site_fract_z
La1 La 0.000 0.000 0.000
La2 La 0.000 0.166 0.500
La3 La 0.000 0.332 0.000
Pm1 Pm 0.000 0.500 0.500
Sb1 Sb 0.247 0.335 0.748
Sb2 Sb 0.247 0.500 0.251
```

Results
uncorrected formation energy	-1.26	eV per atom
total moment	0.000	μB/cell
ρ	6.29	g/cm3

Q: Which formula does entry 2 have?
A: La3Pm4TmS8